Entry from Alexandria: a geometry-optimized Li3Fe2P3O12 structure (GGA+U).

Geometry as POSCAR:
```
Li3Fe2P3O12
1.0
-4.2140 -2.3923 -0.5930
-1.2679 -2.6534 3.8967
-9.5363 14.7843 7.1177
P O Li Fe
6 24 6 4
direct
0.6551 0.6551 0.7528
0.3449 0.3449 0.2472
0.3507 0.3507 0.5799
0.6493 0.6493 0.4201
0.3478 0.3478 0.9155
0.6522 0.6522 0.0845
0.7521 0.7521 0.1534
0.7583 0.7583 0.4870
0.7504 0.7504 0.6841
0.2360 0.7009 0.5769
0.2335 0.2335 0.9796
0.7665 0.7665 0.0204
0.7683 0.3044 0.7575
0.7002 0.2223 0.9173
0.2317 0.6956 0.2425
0.6956 0.2317 0.2425
0.2998 0.7777 0.0827
0.2991 0.7640 0.4231
0.7640 0.2991 0.4231
0.7009 0.2360 0.5769
0.7693 0.7693 0.8168
0.2223 0.7002 0.9173
0.3044 0.7683 0.7575
0.2417 0.2417 0.5130
0.7512 0.7512 0.3533
0.2307 0.2307 0.1832
0.2496 0.2496 0.3159
0.2479 0.2479 0.8466
0.7777 0.2998 0.0827
0.2488 0.2488 0.6467
0.3256 0.3256 0.4114
0.9997 0.9997 0.3342
0.0003 0.0003 0.6658
0.6744 0.6744 0.5886
0.6719 0.6719 0.2562
0.3281 0.3281 0.7438
0.9981 0.9981 0.1675
0.0000 0.0000 0.5000
0.0000 0.0000 0.0000
0.0019 0.0019 0.8325
```

Computed properties:
For the polymorph energy (0 for the lowest one), the calculation gives 23 meV/atom. The value obtained for the total magnetization is 9.99 μB per formula unit. The calculation puts the total energy at -6.747 eV/atom.